# 1
Compound: NaZrAgSe3
Source: the Alexandria database
Functional: PBE
Structure: relaxed

Calculated values
Electronic total energy: -58.32 eV/cell
ρ: 5.251 Mg/m³

Structure (CIF):
```
data_NaZrAgSe3
_cell_length_a 3.9402
_cell_length_b 7.8339
_cell_length_c 9.7795
_cell_angle_alpha 105.93
_cell_angle_beta 90.00
_cell_angle_gamma 90.00
_symmetry_space_group_name_H-M 'P 1'
_symmetry_Int_Tables_number 1
loop_
_symmetry_equiv_pos_as_xyz
'x,y,z'
loop_
_atom_site_label
_atom_site_type_symbol
_atom_site_fract_x
_atom_site_fract_y
_atom_site_fract_z
Na1 Na 0.2500 0.2485 0.2919
Na2 Na 0.7500 0.7515 0.7081
Zr1 Zr 0.2500 0.6870 0.1675
Zr2 Zr 0.7500 0.3130 0.8325
Ag1 Ag 0.2500 0.0780 0.6027
Ag2 Ag 0.7500 0.9220 0.3973
Se1 Se 0.7500 0.9120 0.1310
Se2 Se 0.2500 0.0880 0.8690
Se3 Se 0.2500 0.7110 0.4466
Se4 Se 0.7500 0.2890 0.5534
Se5 Se 0.7500 0.4309 0.1332
Se6 Se 0.2500 0.5691 0.8668
```

# 2
Compound: NaSi2Ag
Source: the Alexandria database
Functional: PBE
Structure: relaxed

Calculated values
Electronic total energy: -27.27 eV/cell
ρ: 3.122 Mg/m³

Structure (CIF):
```
data_NaSi2Ag
_cell_length_a 4.7251
_cell_length_b 4.7251
_cell_length_c 9.5173
_cell_angle_alpha 75.63
_cell_angle_beta 75.63
_cell_angle_gamma 90.00
_symmetry_space_group_name_H-M 'P 1'
_symmetry_Int_Tables_number 1
loop_
_symmetry_equiv_pos_as_xyz
'x,y,z'
loop_
_atom_site_label
_atom_site_type_symbol
_atom_site_fract_x
_atom_site_fract_y
_atom_site_fract_z
Na1 Na 0.5000 0.5000 0.0000
Na2 Na 0.2500 0.7500 0.5000
Si1 Si 0.8512 0.1250 0.2500
Si2 Si 0.8988 0.6250 0.2500
Si3 Si 0.3750 0.1488 0.7500
Si4 Si 0.8750 0.1012 0.7500
Ag1 Ag 0.0000 0.0000 0.0000
Ag2 Ag 0.7500 0.2500 0.5000
```